Entry 1:
VASP calculation (PBE) on crystalline SrBi2Pt at its relaxed geometry.

a b c (Å): 8.7709 8.7709 6.9415
angles (deg): 50.82 50.82 90.00
Element x y z (fractional)
1 Sr 0.2500 0.7500 0.5000
2 Sr 0.5000 0.5000 0.0000
3 Bi 0.0538 0.6250 0.2500
4 Bi 0.6962 0.1250 0.2500
5 Bi 0.8750 0.9462 0.7500
6 Bi 0.3750 0.3038 0.7500
7 Pt 0.7500 0.2500 0.5000
8 Pt 0.0000 0.0000 0.0000

Values from the calculation:
As for the energy of formation: -508 meV per atom. The total moment is 0.00 μB/f.u. Its space group is No. 122.

Entry 2:
VASP calculation (PBE) on crystalline Cs2TlGeSe4 at its relaxed geometry.

a b c (Å): 6.8981 8.0808 13.3635
angles (deg): 83.68 75.04 64.73
Element x y z (fractional)
1 Tl 0.7500 0.5000 0.5000
2 Tl 0.0000 0.0000 0.0000
3 Cs 0.9320 0.5000 0.1361
4 Cs 0.5680 0.5000 0.8639
5 Cs 0.8180 0.0000 0.3639
6 Cs 0.1820 0.0000 0.6361
7 Se 0.9027 0.6948 0.6079
8 Se 0.3475 0.8052 0.1079
9 Se 0.5447 0.1948 0.1079
10 Se 0.8473 0.8052 0.8921
11 Se 0.4895 0.3052 0.6079
12 Se 0.2053 0.3052 0.3921
13 Se 0.4025 0.6948 0.3921
14 Se 0.2605 0.1948 0.8921
15 Ge 0.2500 0.5000 0.5000
16 Ge 0.5000 0.0000 0.0000

Values from the calculation:
The total moment is 0.01 μB/f.u. The value obtained for the formation energy (no corrections) is -5.3 eV/f.u. Its space group is No. 70.

Entry 3:
VASP calculation (PBE) on crystalline LiCd4Rh at its relaxed geometry.

a b c (Å): 4.5272 4.5277 6.4329
angles (deg): 89.89 89.93 90.00
Element x y z (fractional)
1 Cd 0.5009 0.9974 0.7533
2 Cd 0.5014 0.9965 0.2430
3 Cd 0.0012 0.4979 0.2430
4 Cd 0.0017 0.4973 0.7533
5 Li 0.0010 0.9979 0.4980
6 Rh 0.5016 0.4967 0.9983

Values from the calculation:
The polymorph energy (0 for the lowest one) is 0.195 eV/atom. As for the energy of formation: 12 meV per atom. The total moment is 0.00 μB/f.u. Its space group is No. 5.

Entry 4:
VASP calculation (PBE) on crystalline NdMgGaNi at its relaxed geometry.

a b c (Å): 4.8251 4.8251 4.8251
angles (deg): 60.00 60.00 60.00
Element x y z (fractional)
1 Ga 0.5000 0.5000 0.5000
2 Ni 0.0000 0.0000 0.0000
3 Mg 0.2500 0.2500 0.2500
4 Nd 0.7500 0.7500 0.7500

Values from the calculation:
As for the energy of formation: -313 meV per atom. The total moment is 0.00 μB/f.u. Its space group is No. 216.

Entry 5:
VASP calculation (PBE) on crystalline Ge2AsS at its relaxed geometry.

a b c (Å): 4.7110 4.7110 4.7110
angles (deg): 60.00 60.00 60.00
Element x y z (fractional)
1 Ge 0.2500 0.2500 0.2500
2 Ge 0.7500 0.7500 0.7500
3 S 0.0000 0.0000 0.0000
4 As 0.5000 0.5000 0.5000

Values from the calculation:
The polymorph energy (0 for the lowest one) is 0.304 eV/atom. The total moment is 0.00 μB/f.u. The value obtained for the formation energy (no corrections) is 1.2 eV/f.u. Its space group is No. 225.

Entry 6:
VASP calculation (PBE) on crystalline BaScCl2 at its relaxed geometry.

a b c (Å): 5.5859 5.5859 5.5859
angles (deg): 60.00 60.00 60.00
Element x y z (fractional)
1 Ba 0.5000 0.5000 0.5000
2 Cl 0.0000 0.0000 0.0000
3 Cl 0.2500 0.2500 0.2500
4 Sc 0.7500 0.7500 0.7500

Values from the calculation:
The polymorph energy (0 for the lowest one) is 0.831 eV/atom. The total moment is 2.88 μB/f.u. The value obtained for the formation energy (no corrections) is -2.1 eV/f.u. Its space group is No. 216.